First-principles (PBE) data for a relaxed structure of Nd4Ho15Mg, as listed in Alexandria.

POSCAR file:
```
Nd4Ho15Mg
1.0
5.015 0.000 0.000
0.000 5.015 0.000
0.000 0.000 25.031
Ho Nd Mg
15 4 1
Cartesian
2.507 2.507 4.887
0.000 2.507 2.420
0.000 2.507 12.515
2.507 0.000 22.611
2.507 2.507 20.144
0.000 2.507 22.611
2.507 0.000 7.454
2.507 0.000 17.577
2.507 0.000 12.515
2.507 0.000 2.420
0.000 2.507 7.454
0.000 2.507 17.577
2.507 2.507 0.000
2.507 2.507 15.055
2.507 2.507 9.976
0.000 0.000 20.093
0.000 0.000 15.048
0.000 0.000 4.938
0.000 0.000 9.983
0.000 0.000 0.000
```

Results
V = 31.476 Å³ per atom
formation enthalpy at 0 K = 0.47 eV per formula unit
total moment = 0.0 μB/f.u.